(1)
# BaAs2SeS

BaAs2SeS at its PBEsol-relaxed geometry (SCAN, the Alexandria database).

- SG = P4/mmm (123)

Geometry as extended XYZ:
```
5
Lattice="4.892 0.000 0.000 0.000 4.892 0.000 0.000 0.000 5.134" Properties=species:S:1:pos:R:3 pbc="T T T"
Ba 0.000 0.000 0.000
As 0.000 2.446 2.567
As 2.446 0.000 2.567
Se 2.446 2.446 0.000
S 2.446 2.446 2.567
```


(2)
# BaSbAs

BaSbAs at its PBEsol-relaxed geometry (SCAN, the Alexandria database).

- SG = P2_1/m (11)
- ΔE to the lowest computed polymorph (eV/atom) = 0.000

Geometry as extended XYZ:
```
6
Lattice="4.573 0.000 0.000 0.000 4.295 0.000 -2.033 0.000 9.614" Properties=species:S:1:pos:R:3 pbc="T T T"
Ba 0.005 1.074 1.943
Ba 2.536 3.221 7.670
Sb 0.286 3.221 4.898
Sb 2.254 1.074 4.715
As 0.262 1.074 8.953
As 2.278 3.221 0.661
```


(3)
# BaSb3As

BaSb3As at its PBEsol-relaxed geometry (SCAN, the Alexandria database).

- SG = Pm-3m (221)

Geometry as extended XYZ:
```
5
Lattice="5.446 0.000 0.000 0.000 5.446 0.000 0.000 0.000 5.446" Properties=species:S:1:pos:R:3 pbc="T T T"
Ba 0.000 0.000 0.000
Sb 0.000 2.723 2.723
Sb 2.723 0.000 2.723
Sb 2.723 2.723 0.000
As 2.723 2.723 2.723
```


(4)
# BaSbAs2

BaSbAs2 at its PBEsol-relaxed geometry (SCAN, the Alexandria database).

- SG = P4mm (99)

Geometry as extended XYZ:
```
4
Lattice="4.098 0.000 0.000 0.000 4.098 0.000 0.000 0.000 6.637" Properties=species:S:1:pos:R:3 pbc="T T T"
Ba 0.000 0.000 0.000
Sb 2.049 2.049 2.601
As 0.000 0.000 3.276
As 2.049 2.049 5.194
```


Short version: magnetization = 0.000, 0.000, 0.000, 0.000 μB per atom, in the order given.
Short version: E = -22.204, -33.218, -34.395, -29.609 eV/atom, in the order given.